1.
Below is crystalline MgCo2CuPb at its relaxed geometry, with properties calculated at the GGA-PBE level.

The structure in POSCAR format:
```
MgCo2CuPb
1.0
4.4825 0.0000 0.0000
0.0000 5.2440 0.0000
0.0000 0.0000 4.4825
Pb Mg Co Cu
1 1 2 1
Direct
0.0000 0.5000 0.0000
0.0000 0.0000 0.0000
0.0000 0.0000 0.5000
0.5000 0.0000 0.0000
0.5000 0.5000 0.5000
```

Computed properties:
**Energy of formation from the pure elements**: 1441 meV/atom

2.
Below is crystalline PrMgCoCu at its relaxed geometry, with properties calculated at the GGA-PBE level.

The structure in POSCAR format:
```
PrMgCoCu
1.0
-2.7424 2.0159 -3.3247
-4.6058 0.8043 0.8822
-1.5671 4.4538 0.5886
Pr Mg Co Cu
1 1 1 1
Direct
0.2500 0.2500 0.2500
0.7500 0.7500 0.7500
0.0000 0.0000 0.0000
0.5000 0.5000 0.5000
```

Computed properties:
**Energy of formation from the pure elements**: 51 meV/atom

3.
Below is crystalline PuMgCoCu at its relaxed geometry, with properties calculated at the GGA-PBE level.

The structure in POSCAR format:
```
PuMgCoCu
1.0
4.6356 0.0000 0.0000
2.3178 4.0145 0.0000
2.3178 1.3382 3.7849
Mg Co Cu Pu
1 1 1 1
Direct
0.2500 0.2500 0.2500
0.0000 0.0000 0.0000
0.5000 0.5000 0.5000
0.7500 0.7500 0.7500
```

Computed properties:
**Energy of formation from the pure elements**: 121 meV/atom

4.
Below is crystalline MgCoCuRh at its relaxed geometry, with properties calculated at the GGA-PBE level.

The structure in POSCAR format:
```
MgCoCuRh
1.0
-2.6374 -3.3048 0.4159
1.4531 -3.7028 1.4927
-1.1477 -1.3281 3.8690
Co Mg Rh Cu
1 1 1 1
Direct
0.5000 0.5000 0.5000
0.0000 0.0000 0.0000
0.2500 0.2500 0.2500
0.7500 0.7500 0.7500
```

Computed properties:
**Energy of formation from the pure elements**: -44 meV/atom

5.
Below is crystalline MgScCoCu at its relaxed geometry, with properties calculated at the GGA-PBE level.

The structure in POSCAR format:
```
MgScCoCu
1.0
4.4371 0.0000 0.0000
2.2186 3.8427 0.0000
2.2186 1.2809 3.6229
Sc Mg Co Cu
1 1 1 1
Direct
0.5000 0.5000 0.5000
0.0000 0.0000 0.0000
0.7500 0.7500 0.7500
0.2500 0.2500 0.2500
```

Computed properties:
**Energy of formation from the pure elements**: -133 meV/atom

6.
Below is crystalline MgCoCu3Se4 at its relaxed geometry, with properties calculated at the GGA-PBE level.

The structure in POSCAR format:
```
MgCoCu3Se4
1.0
-5.6031 -1.0893 -0.5477
0.5309 -4.4987 3.5158
-1.0976 3.3847 4.4967
Mg Co Cu Se
1 1 3 4
Direct
0.5000 0.5000 0.5000
0.0000 0.0000 0.0000
0.0000 0.5000 0.0000
0.0000 0.0000 0.5000
0.5000 0.0000 0.0000
0.2415 0.2415 0.2415
0.7585 0.7585 0.2415
0.2415 0.7585 0.7585
0.7585 0.2415 0.7585
```

Computed properties:
**Formation energy without anion corrections**: -0.2830 eV per atom